Entry 1:
DFT (PBE) results for a relaxed Nd2ZnI2 crystal.

It has space group R-3m (No. 166, hexagonal axes), with a = 4.2080 Å, b = 4.2080 Å, c = 36.3526 Å, α = 90.00°, β = 90.00° and γ = 120.00°. Symmetry generates all atoms from Nd at (0.0000, 0.0000, 0.1152), Zn at (0.0000, 0.0000, 0.5000) and I at (0.0000, 0.0000, 0.2762).

The raw formation energy comes out at -0.857 eV/atom. The spin magnetization comes out at 0.52 μB per formula unit.

---

Entry 2:
DFT (PBE) results for a relaxed Nd2ZrI crystal.

It has space group R-3m (No. 166, hexagonal axes), with a = 3.5779 Å, b = 3.5779 Å, c = 34.3036 Å, α = 90.00°, β = 90.00° and γ = 120.00°. Symmetry generates all atoms from Nd at (0.0000, 0.0000, 0.0909), Zr at (0.0000, 0.0000, 0.0000) and I at (0.0000, 0.0000, 0.5000).

The raw formation energy comes out at 0.073 eV/atom. The spin magnetization comes out at 1.40 μB per formula unit.

---

Entry 3:
DFT (PBE) results for a relaxed NdZrI2 crystal.

It has space group R-3m (No. 166, hexagonal axes), with a = 3.6845 Å, b = 3.6845 Å, c = 31.8736 Å, α = 90.00°, β = 90.00° and γ = 120.00°. Symmetry generates all atoms from Nd at (0.0000, 0.0000, 0.0000), Zr at (0.0000, 0.0000, 0.5000) and I at (0.0000, 0.0000, 0.1014).

The raw formation energy comes out at -0.399 eV/atom. The spin magnetization comes out at 0.00 μB per formula unit.

---

Entry 4:
DFT (PBE) results for a relaxed NdZrI crystal.

It has space group C2/m (No. 12), with a = 9.9921 Å, b = 3.8557 Å, c = 11.8588 Å, α = 90.00°, β = 111.99° and γ = 90.00°. Symmetry generates all atoms from Nd at (0.0160, 0.0000, 0.2107), Zr at (0.1547, 0.5000, 0.0344) and I at (0.2076, 0.0000, 0.6514).

The raw formation energy comes out at -0.374 eV/atom. The spin magnetization comes out at 0.00 μB per formula unit.

---

Q: What is the spin magnetization in the fourth record?
A: 0.00 μB per formula unit